(1)
A plane-wave DFT calculation with PBE was carried out for a relaxed SrAcIn6 crystal. Values from VASP.

```
&SYSTEM
  ibrav = 0, nat = 8, ntyp = 3
/
ATOMIC_SPECIES
Sr 87.62 Sr.upf
Ac 227.00 Ac.upf
In 114.82 In.upf
ATOMIC_POSITIONS crystal
Sr 0.000 0.000 0.000
Ac 0.500 0.668 0.668
In 0.000 0.036 0.482
In 0.000 0.482 0.036
In 0.000 0.483 0.483
In 0.500 0.180 0.180
In 0.500 0.181 0.639
In 0.500 0.639 0.181
CELL_PARAMETERS angstrom
5.321 0.000 0.000
0.000 3.562 6.159
0.000 -3.562 6.159
```

symmetry: Amm2, No. 38
offset from the most stable computed form: 0.0000 eV/atom
crystal system: orthorhombic

(2)
A plane-wave DFT calculation with PBE was carried out for a relaxed Sr4AcIn5 crystal. Values from VASP.

```
&SYSTEM
  ibrav = 0, nat = 10, ntyp = 3
/
ATOMIC_SPECIES
Sr 87.62 Sr.upf
Ac 227.00 Ac.upf
In 114.82 In.upf
ATOMIC_POSITIONS crystal
Sr 0.000 0.000 0.099
Sr 0.000 0.000 0.297
Sr 0.000 0.000 0.703
Sr 0.000 0.000 0.901
Ac 0.000 0.000 0.500
In 0.500 0.500 0.000
In 0.500 0.500 0.198
In 0.500 0.500 0.398
In 0.500 0.500 0.602
In 0.500 0.500 0.802
CELL_PARAMETERS angstrom
4.092 0.000 0.000
0.000 4.092 0.000
0.000 0.000 20.282
```

symmetry: P4/mmm, No. 123
crystal system: tetragonal

(3)
A plane-wave DFT calculation with PBE was carried out for a relaxed SrAcIn4 crystal. Values from VASP.

```
&SYSTEM
  ibrav = 0, nat = 6, ntyp = 3
/
ATOMIC_SPECIES
Sr 87.62 Sr.upf
Ac 227.00 Ac.upf
In 114.82 In.upf
ATOMIC_POSITIONS crystal
Sr 0.000 0.000 0.000
Ac 0.750 0.750 0.750
In 0.375 0.375 0.375
In 0.375 0.375 0.874
In 0.375 0.874 0.375
In 0.874 0.375 0.375
CELL_PARAMETERS angstrom
0.000 4.459 4.459
4.459 0.000 4.459
4.459 4.459 0.000
```

symmetry: F-43m, No. 216
offset from the most stable computed form: 0.0503 eV/atom
crystal system: cubic

| no. | energy of formation (meV/atom) |
| --- | --- |
| 1 | -374 |
| 2 | -430 |
| 3 | -395 |